This record from Alexandria describes AcDyAlCu after structural relaxation. The functional is PBE.

- DOS(E_F) (states/eV per cell) = 15.76
- total magnetic moment (μB per formula unit) = 0.0
- energy of formation from the pure elements (meV per atom) = -147.7

Cell: 7.4859 7.4859 7.4859 Å, 90.00 90.00 90.00°
With the nearest neighbours (Å) after each atom.
Element x y z (fractional)
Ac  0.0000  0.0000  0.0000  4 Al 3.24, 4 Cu 3.24
Ac  0.0000  0.5000  0.5000  4 Al 3.24, 4 Cu 3.24
Ac  0.5000  0.0000  0.5000  4 Al 3.24, 4 Cu 3.24
Ac  0.5000  0.5000  0.0000  4 Al 3.24, 4 Cu 3.24
Dy  0.0000  0.0000  0.5000  4 Al 3.24, 4 Cu 3.24
Dy  0.0000  0.5000  0.0000  4 Al 3.24, 4 Cu 3.24
Dy  0.5000  0.0000  0.0000  4 Al 3.24, 4 Cu 3.24
Dy  0.5000  0.5000  0.5000  4 Al 3.24, 4 Cu 3.24
Al  0.2500  0.2500  0.2500  4 Ac 3.24, 4 Dy 3.24
Al  0.2500  0.7500  0.7500  4 Ac 3.24, 4 Dy 3.24
Al  0.7500  0.2500  0.7500  4 Ac 3.24, 4 Dy 3.24
Al  0.7500  0.7500  0.2500  4 Ac 3.24, 4 Dy 3.24
Cu  0.2500  0.2500  0.7500  4 Ac 3.24, 4 Dy 3.24
Cu  0.2500  0.7500  0.2500  4 Ac 3.24, 4 Dy 3.24
Cu  0.7500  0.2500  0.2500  4 Ac 3.24, 4 Dy 3.24
Cu  0.7500  0.7500  0.7500  4 Ac 3.24, 4 Dy 3.24